DFT (GGA-PBE) results for an optimized crystal structure of KSr3Rh. Values from VASP.

Calculated values
total moment = 0.0 Bohr magnetons per cell
space-group type = Cm (8)
final energy = -2.8108 eV per atom
DFT formation energy = -112 meV per atom

Geometry as Quantum ESPRESSO input:
```
&SYSTEM
  ibrav = 0, nat = 10, ntyp = 3
/
ATOMIC_SPECIES
Sr 87.62 Sr.upf
K 39.10 K.upf
Rh 102.91 Rh.upf
ATOMIC_POSITIONS crystal
Sr 0.6122 0.0484 0.0374
Sr 0.5028 0.4435 0.2555
Sr 0.0029 0.0797 0.2556
Sr 0.3935 0.8307 0.4741
Sr 0.1120 0.6937 0.0376
Sr 0.8937 0.4762 0.4734
K 0.2530 0.2622 0.7552
K 0.7527 0.7617 0.7559
Rh 0.2538 0.7619 0.2557
Rh 0.7519 0.7619 0.2557
CELL_PARAMETERS angstrom
-0.7494 2.3549 6.3012
-7.4440 -0.4670 -0.7145
-3.8493 -7.8114 6.0991
```